(1)
Compound: NdDyY2
Source: Alexandria via LeMat-Bulk
Functional: GGA-PBE
Structure: optimized geometry

Computed properties:
total energy: -5.559 eV/atom
size of the total moment: 0.00 μB per atom
E_form: 0.0152 eV/atom
symmetry: Imm2
ΔE to the lowest computed polymorph: 0 meV/atom

a b c (Å): 3.669 6.797 6.797
angles (deg): 55.42 74.36 74.35
Element x y z (fractional)
Y 0.999 0.085 0.919
Nd 0.750 0.669 0.831
Dy 0.250 0.165 0.335
Y 0.501 0.581 0.415

---

(2)
Compound: Nd3DyY6
Source: Alexandria via LeMat-Bulk
Functional: GGA-PBE
Structure: optimized geometry

Computed properties:
total energy: -5.513 eV/atom
size of the total moment: 0.00 μB per atom
E_form: 0.2559 eV/atom
symmetry: R3
ΔE to the lowest computed polymorph: 114 meV/atom

a b c (Å): 9.968 9.968 6.954
angles (deg): 44.21 44.21 60.00
Element x y z (fractional)
Y 0.774 0.097 0.701
Y 0.428 0.774 0.701
Y 0.097 0.428 0.701
Nd 0.100 0.100 0.699
Nd 0.601 0.601 0.198
Y 0.271 0.926 0.201
Y 0.926 0.602 0.201
Y 0.602 0.271 0.201
Nd 0.351 0.351 0.948
Dy 0.851 0.851 0.448

---

(3)
Compound: Nd5DyY8
Source: Alexandria via LeMat-Bulk
Functional: GGA-PBE
Structure: optimized geometry

Computed properties:
total energy: -5.491 eV/atom
size of the total moment: 0.00 μB per atom
E_form: 0.2341 eV/atom
symmetry: I-4

a b c (Å): 8.530 8.530 8.530
angles (deg): 110.87 106.71 110.87
Element x y z (fractional)
Y 0.667 0.396 0.920
Nd 0.812 0.676 0.708
Nd 0.863 0.895 0.188
Y 0.570 0.907 0.831
Y 0.169 0.739 0.076
Y 0.337 0.261 0.430
Y 0.924 0.093 0.663
Nd 0.292 0.105 0.968
Y 0.080 0.747 0.476
Nd 0.500 0.000 0.500
Y 0.730 0.253 0.333
Dy 0.250 0.500 0.750
Y 0.524 0.604 0.270
Nd 0.032 0.324 0.137